No. 1
Pr2DySe2O2 | PBE-GGA | optimized geometry

Structure (POSCAR):
```
Pr2DySe2O2
1.0
-0.279 -4.230 0.941
2.333 0.648 3.605
-7.637 3.124 1.765
Pr Dy Se O
2 1 2 2
direct
0.373 0.373 0.745 Pr
0.627 0.627 0.255 Pr
0.000 0.000 0.000 Dy
0.180 0.180 0.360 Se
0.820 0.820 0.640 Se
0.000 0.500 0.000 O
0.500 0.000 0.000 O
```

Values from the calculation:
Total moment (μB per formula unit): 0.00
Symmetry: I4/mmm
Electronic total energy (eV/atom): -6.82

***

No. 2
Al2CdHg | PBE-GGA | optimized geometry

Structure (POSCAR):
```
Al2CdHg
1.0
0.000 3.481 3.481
3.481 0.000 3.481
3.481 3.481 0.000
Al Hg Cd
2 1 1
direct
0.250 0.250 0.250 Al
0.750 0.750 0.750 Al
0.500 0.500 0.500 Hg
0.000 0.000 0.000 Cd
```

Values from the calculation:
Total moment (μB per formula unit): 0.00
Symmetry: Fm-3m
Energy of formation (kJ/mol of formula units): 92.3
E above lowest polymorph (eV per atom): 0.125

***

No. 3
Be2P | PBE-GGA | optimized geometry

Structure (POSCAR):
```
Be2P
1.0
3.472 0.000 0.000
-1.736 3.007 0.000
0.000 0.000 21.710
P Be
6 12
direct
0.000 0.000 0.532 P
0.333 0.667 0.198 P
0.667 0.333 0.865 P
0.000 0.000 0.340 P
0.333 0.667 0.007 P
0.667 0.333 0.674 P
0.000 0.000 0.245 Be
0.333 0.667 0.912 Be
0.667 0.333 0.578 Be
0.000 0.000 0.433 Be
0.333 0.667 0.099 Be
0.667 0.333 0.766 Be
0.000 0.000 0.045 Be
0.333 0.667 0.712 Be
0.667 0.333 0.378 Be
0.000 0.000 0.150 Be
0.333 0.667 0.816 Be
0.667 0.333 0.483 Be
```

Values from the calculation:
Total moment (μB per formula unit): 0.00
Symmetry: R3m
Energy of formation (kJ/mol of formula units): -33.1
E above lowest polymorph (eV per atom): 0.022

***

No. 4
TiSeSCl2 | PBE-GGA | optimized geometry

Structure (POSCAR):
```
TiSeSCl2
1.0
-2.484 -2.200 -3.775
2.595 -4.236 0.761
-3.462 -1.550 3.181
S Cl Se Ti
1 2 1 1
direct
0.000 0.000 0.500 S
0.000 0.500 0.000 Cl
0.500 0.000 0.000 Cl
0.000 0.000 0.000 Se
0.500 0.500 0.500 Ti
```

Values from the calculation:
Total moment (μB per formula unit): 2.45
Symmetry: P4/mmm
E above lowest polymorph (eV per atom): 0.808

***

No. 5
AlRe2Hg | PBE-GGA | optimized geometry

Structure (POSCAR):
```
AlRe2Hg
1.0
-2.710 0.537 0.586
0.556 -1.413 -2.381
-0.607 -8.263 4.762
Re Hg Al
2 1 1
direct
0.000 0.000 0.026 Re
0.500 0.500 0.248 Re
0.500 0.500 0.749 Hg
0.000 0.000 0.477 Al
```

Values from the calculation:
Total moment (μB per formula unit): 0.00
Symmetry: Cmm2
Energy of formation (kJ/mol of formula units): 161.7
E above lowest polymorph (eV per atom): 0.266

***

No. 6
NdThTcBr | PBE-GGA | optimized geometry

Structure (POSCAR):
```
NdThTcBr
1.0
-3.535 2.004 0.822
1.671 -2.505 2.848
5.882 5.511 1.396
Nd Th Tc Br
1 1 1 1
direct
0.500 0.148 0.664 Nd
0.086 0.941 0.043 Th
0.321 0.558 0.894 Tc
0.971 0.383 0.369 Br
```

Values from the calculation:
Total moment (μB per formula unit): 0.00
Symmetry: R3m
Electronic total energy (eV/atom): -6.59